1.
DFT (PBE-GGA) results for a relaxed structure of Y2Cu2SnRh5.

Lattice parameters (Å, degrees): 3.8429 9.3920 9.3920 90.00 90.00 90.00
Closest atoms and distances in Å follow each position.
Element x y z (fractional)
Y1 0.0000 0.6745 0.1745  3 Cu 2.71-2.83, 2 Rh 3.01
Y2 0.0000 0.3255 0.8255  3 Cu 2.71-2.83, 2 Rh 3.01
Y3 0.0000 0.1745 0.3255  3 Cu 2.71-2.83, 2 Rh 3.01
Y4 0.0000 0.8255 0.6745  3 Cu 2.71-2.83, 2 Rh 3.01
Cu1 0.0000 0.1216 0.6216  6 Rh 2.51-2.54, 1 Y 2.71
Cu2 0.0000 0.8784 0.3784  6 Rh 2.51-2.54, 1 Y 2.71
Cu3 0.0000 0.6216 0.8784  6 Rh 2.51-2.54, 1 Y 2.71
Cu4 0.0000 0.3784 0.1216  6 Rh 2.51-2.54, 1 Y 2.71
Sn1 0.0000 0.0000 0.0000  8 Rh 2.82
Sn2 0.0000 0.5000 0.5000  8 Rh 2.82
Rh1 0.5000 0.2087 0.0699  2 Cu 2.54, 1 Rh 2.81, 2 Sn 2.82
Rh2 0.5000 0.7913 0.9301  2 Cu 2.54, 1 Rh 2.81, 2 Sn 2.82
Rh3 0.5000 0.0699 0.7913  2 Cu 2.54, 1 Rh 2.81, 2 Sn 2.82
Rh4 0.5000 0.7087 0.4301  2 Cu 2.54, 1 Rh 2.81, 2 Sn 2.82
Rh5 0.5000 0.9301 0.2087  2 Cu 2.54, 1 Rh 2.81, 2 Sn 2.82
Rh6 0.5000 0.2913 0.5699  2 Cu 2.54, 1 Rh 2.81, 2 Sn 2.82
Rh7 0.5000 0.5699 0.7087  2 Cu 2.54, 1 Rh 2.81, 2 Sn 2.82
Rh8 0.5000 0.4301 0.2913  2 Cu 2.54, 1 Rh 2.81, 2 Sn 2.82
Rh9 0.5000 0.5000 0.0000  4 Cu 2.51
Rh10 0.5000 0.0000 0.5000  4 Cu 2.51

Values from the calculation:
Its crystal system is tetragonal. The value obtained for the calculated formation energy is -0.531 eV per atom. Its space group is P4/mbm. The value obtained for the volume is 169.5 Å³/f.u.

2.
DFT (PBE-GGA) results for a relaxed structure of Sr6Cu2Rh.

Lattice parameters (Å, degrees): 7.3439 8.2720 10.9454 90.00 89.47 90.00
Closest atoms and distances in Å follow each position.
Element x y z (fractional)
Sr1 0.1497 0.0445 0.2539  1 Rh 2.92, 2 Cu 3.17-3.26
Sr2 0.1616 0.3134 0.5673  1 Rh 2.95, 1 Cu 3.27
Sr3 0.1705 0.3299 0.9322  1 Rh 2.90
Sr4 0.3295 0.8299 0.5678  1 Rh 2.90
Sr5 0.3384 0.8134 0.9327  1 Rh 2.95, 1 Cu 3.27
Sr6 0.3503 0.5445 0.2461  1 Rh 2.92, 2 Cu 3.17-3.26
Sr7 0.8503 0.9555 0.7461  1 Rh 2.92, 2 Cu 3.17-3.26
Sr8 0.8384 0.6866 0.4327  1 Rh 2.95, 1 Cu 3.27
Sr9 0.8295 0.6701 0.0678  1 Rh 2.90
Sr10 0.6705 0.1701 0.4322  1 Rh 2.90
Sr11 0.6616 0.1866 0.0673  1 Rh 2.95, 1 Cu 3.27
Sr12 0.6497 0.4555 0.7539  1 Rh 2.92, 2 Cu 3.17-3.26
Cu1 0.0546 0.6173 0.7456  6 Sr 3.17-3.35
Cu2 0.4454 0.1173 0.7544  6 Sr 3.17-3.35
Cu3 0.5546 0.8827 0.2456  6 Sr 3.17-3.35
Cu4 0.9454 0.3827 0.2544  6 Sr 3.17-3.35
Rh1 0.5000 0.5000 0.0000  6 Sr 2.90-2.95
Rh2 0.0000 0.0000 0.5000  6 Sr 2.90-2.95

Values from the calculation:
Its crystal system is monoclinic. The value obtained for the calculated formation energy is -0.093 eV per atom. Its space group is P2_1/c. The value obtained for the volume is 332.4 Å³/f.u.

3.
DFT (PBE-GGA) results for a relaxed structure of SrCuRh2.

Lattice parameters (Å, degrees): 4.9926 4.9926 4.9926 130.15 130.15 73.17
Closest atoms and distances in Å follow each position.
Element x y z (fractional)
Cu1 0.7500 0.2500 0.5000  8 Rh 2.91, 4 Sr 2.98
Rh1 0.0000 0.0000 0.0000  4 Cu 2.91, 4 Sr 2.91, 4 Rh 2.98
Rh2 0.5000 0.5000 0.0000  4 Sr 2.91, 4 Cu 2.91, 4 Rh 2.98
Sr1 0.2500 0.7500 0.5000  8 Rh 2.91, 4 Cu 2.98

Values from the calculation:
Its crystal system is tetragonal. The value obtained for the calculated formation energy is 0.272 eV per atom. The calculation puts the offset from the most stable computed form at 1.64 eV per formula unit. Its space group is I4/mmm. The value obtained for the volume is 71.0 Å³/f.u.

4.
DFT (PBE-GGA) results for a relaxed structure of SrCuRh2.

Lattice parameters (Å, degrees): 4.5848 4.5848 9.3119 75.75 75.75 90.00
Closest atoms and distances in Å follow each position.
Element x y z (fractional)
Sr1 0.0000 0.0000 0.0000  4 Rh 3.10, 4 Cu 3.24
Sr2 0.7500 0.2500 0.5000  4 Rh 3.10, 4 Cu 3.24
Rh1 0.4664 0.1250 0.2500  2 Rh 2.44, 2 Cu 2.50
Rh2 0.2836 0.6250 0.2500  2 Rh 2.44, 2 Cu 2.50
Rh3 0.3750 0.5336 0.7500  2 Rh 2.44, 2 Cu 2.50
Rh4 0.8750 0.7164 0.7500  2 Rh 2.44, 2 Cu 2.50
Cu1 0.5000 0.5000 0.0000  4 Rh 2.50
Cu2 0.2500 0.7500 0.5000  4 Rh 2.50

Values from the calculation:
Its crystal system is tetragonal. The value obtained for the calculated formation energy is 0.210 eV per atom. The calculation puts the offset from the most stable computed form at 1.39 eV per formula unit. Its space group is I-42d. The value obtained for the volume is 91.7 Å³/f.u.

5.
DFT (PBE-GGA) results for a relaxed structure of SrCu2Rh2.

Lattice parameters (Å, degrees): 7.5739 7.5739 2.8880 90.00 90.00 90.00
Closest atoms and distances in Å follow each position.
Element x y z (fractional)
Sr1 0.0000 0.0000 0.0000  2 Sr 2.89, 4 Cu 2.99, 8 Rh 3.18
Sr2 0.5000 0.5000 0.0000  2 Sr 2.89, 4 Cu 2.99, 8 Rh 3.18
Rh1 0.1647 0.6647 0.5000  6 Cu 2.65-2.66, 2 Rh 2.89
Rh2 0.6647 0.8353 0.5000  6 Cu 2.65-2.66, 2 Rh 2.89
Rh3 0.8353 0.3353 0.5000  6 Cu 2.65-2.66, 2 Rh 2.89
Rh4 0.3353 0.1647 0.5000  6 Cu 2.65-2.66, 2 Rh 2.89
Cu1 0.3738 0.8738 0.0000  6 Rh 2.65-2.66, 3 Cu 2.70-2.89
Cu2 0.8738 0.6262 0.0000  6 Rh 2.65-2.66, 3 Cu 2.70-2.89
Cu3 0.6262 0.1262 0.0000  6 Rh 2.65-2.66, 3 Cu 2.70-2.89
Cu4 0.1262 0.3738 0.0000  6 Rh 2.65-2.66, 3 Cu 2.70-2.89

Values from the calculation:
Its crystal system is tetragonal. The value obtained for the calculated formation energy is 0.112 eV per atom. The calculation puts the offset from the most stable computed form at 0.43 eV per formula unit. Its space group is P4/mbm. The value obtained for the volume is 82.8 Å³/f.u.

6.
DFT (PBE-GGA) results for a relaxed structure of SrCu2Rh.

Lattice parameters (Å, degrees): 4.1854 4.1850 4.0308 90.00 90.00 90.00
Closest atoms and distances in Å follow each position.
Element x y z (fractional)
Cu1 0.0000 0.0000 0.0000  4 Sr 2.91, 4 Rh 2.91, 4 Cu 2.96
Cu2 0.5000 0.5000 0.0000  4 Rh 2.91, 4 Sr 2.91, 4 Cu 2.96
Rh1 0.5000 0.0000 0.5000  8 Cu 2.91, 4 Sr 2.96
Sr1 0.0000 0.5000 0.5000  8 Cu 2.91, 4 Rh 2.96

Values from the calculation:
Its crystal system is tetragonal. The value obtained for the calculated formation energy is 0.172 eV per atom. The calculation puts the offset from the most stable computed form at 1.25 eV per formula unit. Its space group is P4/mmm. The value obtained for the volume is 70.6 Å³/f.u.

7.
DFT (PBE-GGA) results for a relaxed structure of SrCu3Rh.

Lattice parameters (Å, degrees): 4.9052 4.9052 4.9052 90.00 90.00 90.00
Closest atoms and distances in Å follow each position.
Element x y z (fractional)
Sr1 0.0000 0.0000 0.0000  6 Cu 2.45
Rh1 0.5000 0.5000 0.5000  12 Cu 3.47
Cu1 0.0000 0.5000 0.0000  2 Sr 2.45
Cu2 0.0000 0.0000 0.5000  2 Sr 2.45
Cu3 0.5000 0.0000 0.0000  2 Sr 2.45

Values from the calculation:
Its crystal system is cubic. The value obtained for the calculated formation energy is 1.825 eV per atom. The calculation puts the offset from the most stable computed form at 9.30 eV per formula unit. Its space group is Pm-3m. The value obtained for the volume is 118.0 Å³/f.u.

8.
DFT (PBE-GGA) results for a relaxed structure of Sr6CuRh.

Lattice parameters (Å, degrees): 7.4197 7.4197 14.3442 90.00 90.00 120.00
Closest atoms and distances in Å follow each position.
Element x y z (fractional)
Sr1 0.3231 0.3248 0.3790  1 Rh 2.96, 1 Cu 3.11
Sr2 0.6769 0.6752 0.6210  1 Rh 2.96, 1 Cu 3.11
Sr3 0.0018 0.6769 0.3790  1 Rh 2.96, 1 Cu 3.11
Sr4 0.3231 0.9982 0.1210  1 Rh 2.96, 1 Cu 3.11
Sr5 0.9982 0.3231 0.6210  1 Rh 2.96, 1 Cu 3.11
Sr6 0.6769 0.0018 0.8790  1 Rh 2.96, 1 Cu 3.11
Sr7 0.6752 0.9982 0.3790  1 Rh 2.96, 1 Cu 3.11
Sr8 0.0018 0.3248 0.1210  1 Rh 2.96, 1 Cu 3.11
Sr9 0.3248 0.0018 0.6210  1 Rh 2.96, 1 Cu 3.11
Sr10 0.9982 0.6752 0.8790  1 Rh 2.96, 1 Cu 3.11
Sr11 0.6752 0.6769 0.1210  1 Rh 2.96, 1 Cu 3.11
Sr12 0.3248 0.3231 0.8790  1 Rh 2.96, 1 Cu 3.11
Cu1 0.3333 0.6667 0.2500  6 Sr 3.11
Cu2 0.6667 0.3333 0.7500  6 Sr 3.11
Rh1 0.0000 0.0000 0.5000  6 Sr 2.96
Rh2 0.0000 0.0000 0.0000  6 Sr 2.96

Values from the calculation:
Its crystal system is trigonal. The value obtained for the calculated formation energy is -0.126 eV per atom. Its space group is P-31c. The value obtained for the volume is 341.9 Å³/f.u.

9.
DFT (PBE-GGA) results for a relaxed structure of SrCuRh3.

Lattice parameters (Å, degrees): 4.9105 4.9105 4.9105 90.00 90.00 90.00
Closest atoms and distances in Å follow each position.
Element x y z (fractional)
Sr1 0.0000 0.0000 0.0000  6 Rh 2.46
Rh1 0.0000 0.5000 0.0000  2 Sr 2.46
Rh2 0.0000 0.0000 0.5000  2 Sr 2.46
Rh3 0.5000 0.0000 0.0000  2 Sr 2.46
Cu1 0.5000 0.5000 0.5000  12 Rh 3.47

Values from the calculation:
Its crystal system is cubic. The value obtained for the calculated formation energy is 1.992 eV per atom. The calculation puts the offset from the most stable computed form at 7.36 eV per formula unit. Its space group is Pm-3m. The value obtained for the volume is 118.4 Å³/f.u.

10.
DFT (PBE-GGA) results for a relaxed structure of SrCuRh2.

Lattice parameters (Å, degrees): 4.3724 4.3724 5.8018 67.89 67.89 59.98
Closest atoms and distances in Å follow each position.
Element x y z (fractional)
Cu1 0.3077 0.3077 0.0773  6 Rh 2.58-2.62
Rh1 0.0093 0.0093 0.9725  3 Rh 2.53, 3 Cu 2.58
Rh2 0.6863 0.6863 0.9416  3 Rh 2.53, 3 Cu 2.62
Sr1 0.4967 0.4967 0.5086  1 Rh 2.96, 1 Cu 2.97

Values from the calculation:
Its crystal system is trigonal. The value obtained for the calculated formation energy is -0.137 eV per atom. The calculation puts the offset from the most stable computed form at 0.00 eV per formula unit. Its space group is R3m. The value obtained for the volume is 86.5 Å³/f.u.

Number 1: theoretical density 9.19 g cm⁻³. Number 2: theoretical density 3.77 g cm⁻³. Number 3: theoretical density 8.35 g cm⁻³. Number 4: theoretical density 6.46 g cm⁻³. Number 5: theoretical density 8.43 g cm⁻³. Number 6: theoretical density 7.47 g cm⁻³. Number 7: theoretical density 5.36 g cm⁻³. Number 8: theoretical density 3.36 g cm⁻³. Number 9: theoretical density 6.45 g cm⁻³. Number 10: theoretical density 6.85 g cm⁻³.